Entry from the Alexandria database: a geometry-optimized TlPbSeS structure (GGA-PBE).

- ΔE_f (raw) (meV per atom) = -162

abc: 7.3766 7.3766 7.3766
angles: 90.00 90.00 90.00
Space group F-43m (No. 216)
Inequivalent atoms, fractional coordinates:
Tl 0.0000 0.0000 0.0000
Pb 0.0000 0.0000 0.5000
Se 0.2500 0.2500 0.2500
S 0.2500 0.2500 0.7500

Entry from the Alexandria database: a geometry-optimized TlPbSeS structure (GGA-PBE).

- ΔE_f (raw) (meV per atom) = -312

abc: 5.0150 5.0150 34.2835
angles: 90.00 90.00 120.00
Space group R-3m (No. 166, hexagonal axes)
Inequivalent atoms, fractional coordinates:
Tl 0.0000 0.0000 0.2058
Pb 0.0000 0.0000 0.3777
Se 0.0000 0.0000 0.1169
S 0.0000 0.0000 0.2977

Entry from the Alexandria database: a geometry-optimized Tm6Pb3SeS2 structure (GGA-PBE).

- ΔE_f (raw) (meV per atom) = -1107

abc: 6.6501 11.4779 8.1275
angles: 90.00 105.84 90.00
Space group C2/m (No. 12)
Inequivalent atoms, fractional coordinates:
Tm 0.2205 0.0000 0.1980
Tm 0.2420 0.3282 0.2049
Pb 0.0000 0.0000 0.5000
Pb 0.0000 0.3441 0.5000
Se 0.0000 0.5000 0.0000
S 0.0000 0.1686 0.0000

Entry from the Alexandria database: a geometry-optimized Tm6PbSe2S3 structure (GGA-PBE).

- ΔE_f (raw) (meV per atom) = -1575

abc: 17.5746 3.8986 8.1858
angles: 90.00 104.34 90.00
Space group C2/m (No. 12)
Inequivalent atoms, fractional coordinates:
Tm 0.0044 0.0000 0.2245
Tm 0.1616 0.5000 0.0923
Tm 0.1748 0.5000 0.5666
Pb 0.0000 0.5000 0.5000
Se 0.1694 0.0000 0.8343
S 0.0000 0.5000 0.0000
S 0.1661 0.0000 0.3252

Entry from the Alexandria database: a geometry-optimized Tm4PbSeS2 structure (GGA-PBE).

- ΔE_f (raw) (meV per atom) = -1456

abc: 7.0438 3.9087 7.1026
angles: 90.00 108.43 90.00
Space group P2/m (No. 10)
Inequivalent atoms, fractional coordinates:
Tm 0.2277 0.0000 0.2178
Tm 0.2514 0.5000 0.7728
Pb 0.5000 0.5000 0.5000
Se 0.0000 0.0000 0.5000
S 0.0000 0.5000 0.0000
S 0.5000 0.0000 0.0000

Entry from the Alexandria database: a geometry-optimized Tm6Pb3Se2S structure (GGA-PBE).

- ΔE_f (raw) (meV per atom) = -1056

abc: 6.7346 11.6179 8.1239
angles: 90.00 106.11 90.00
Space group C2/m (No. 12)
Inequivalent atoms, fractional coordinates:
Tm 0.2288 0.1614 0.2045
Tm 0.2459 0.0000 0.7851
Pb 0.0000 0.1802 0.5000
Pb 0.0000 0.5000 0.5000
Se 0.0000 0.3364 0.0000
S 0.0000 0.0000 0.0000

Entry from the Alexandria database: a geometry-optimized Tm4PbSe2S structure (GGA-PBE).

- ΔE_f (raw) (meV per atom) = -1388

abc: 7.0845 4.0814 7.0879
angles: 90.00 109.41 90.00
Space group P2/m (No. 10)
Inequivalent atoms, fractional coordinates:
Tm 0.2412 0.0000 0.2330
Tm 0.2550 0.5000 0.7666
Pb 0.0000 0.0000 0.5000
Se 0.5000 0.0000 0.0000
Se 0.5000 0.5000 0.5000
S 0.0000 0.5000 0.0000

Entry from the Alexandria database: a geometry-optimized Tm4Pb2SeS structure (GGA-PBE).

- ΔE_f (raw) (meV per atom) = -1078

abc: 6.6759 3.8887 8.0892
angles: 90.00 106.23 90.00
Space group P2/m (No. 10)
Inequivalent atoms, fractional coordinates:
Tm 0.2244 0.0000 0.2020
Tm 0.2533 0.5000 0.7919
Pb 0.0000 0.0000 0.5000
Pb 0.5000 0.5000 0.5000
Se 0.5000 0.0000 0.0000
S 0.0000 0.5000 0.0000

Which of these has the lowest ΔE_f (raw)?
Tm6PbSe2S3